GaH2Ir | GGA-PBE | relaxed

Properties
ΔE to the lowest computed polymorph in meV per atom: 112
DFT total energy in eV per atom: -4.38

Unit cell a=3.3380 b=3.3380 c=4.4766 alpha=68.11 beta=68.11 gamma=60.00
Fractional positions:
H1 0.1351 0.1351 0.5946
H2 0.8649 0.8649 0.4054
Ir1 0.0000 0.0000 0.0000
Ga1 0.5000 0.5000 0.5000